First-principles (PBE) data for crystalline NdCl2O2 at its relaxed geometry, as listed in OQMD via LeMat-Bulk.

abc: 6.882 7.137 7.140
angles: 117.34 102.74 99.52
Sites, in units of the cell vectors:
Cl 0.733 0.415 0.977
Cl 0.267 0.585 0.023
Cl 0.268 0.014 0.596
Cl 0.732 0.986 0.404
Nd 0.000 0.828 0.172
Nd 0.000 0.172 0.828
O 0.798 0.906 0.899
O 0.202 0.094 0.101
O 0.935 0.812 0.809
O 0.065 0.188 0.190

Values from the calculation:
Calculated volume in A^3/atom: 28.91
DFT total energy in eV per atom: -5.375